# Sr2AlCo

A relaxed Sr2AlCo crystal (PBEsol, the Alexandria database).

Summary:
E_tot = -3.303 eV/atom
space group = R-3m, No. 166
total magnetic moment = 0.266 μB per atom
calculated formation energy = 574.4 meV per atom

Cell and atoms, written as CIF:
```
data_Sr2AlCo
_chemical_formula_sum 'Sr2 Al1 Co1'
_symmetry_space_group_name_H-M 'P 1'
_symmetry_Int_Tables_number 1
_cell_length_a 9.424
_cell_length_b 9.424
_cell_length_c 9.424
_cell_angle_alpha 23.14
_cell_angle_beta 23.14
_cell_angle_gamma 23.14
loop_
_symmetry_equiv_pos_as_xyz
'x,y,z'
loop_
_atom_site_label
_atom_site_fract_x
_atom_site_fract_y
_atom_site_fract_z
Sr1 0.238 0.238 0.238
Sr2 0.762 0.762 0.762
Al1 0.000 0.000 0.000
Co1 0.500 0.500 0.500
```